(1)
# PBE-GGA Ag3Pt2, optimized geometry
data_Ag3Pt2
_symmetry_space_group_name_H-M 'P 1'
_symmetry_Int_Tables_number 1
_symmetry_space_group_name_Hall 'P 1'
_cell_length_a 10.750
_cell_length_b 10.750
_cell_length_c 10.750
_cell_angle_alpha 164.94
_cell_angle_beta 164.94
_cell_angle_gamma 21.36
loop_
_atom_site_label
_atom_site_fract_x
_atom_site_fract_y
_atom_site_fract_z
Ag1 0.000 0.000 0.000
Ag2 0.198 0.198 0.000
Ag3 0.802 0.802 0.000
Pt1 0.400 0.400 0.000
Pt2 0.600 0.600 0.000
# - Formation enthalpy at 0 K: 31 meV/atom
# - Offset from the most stable computed form: 87 meV/atom
# - Space group: No. 139

---

(2)
# PBE-GGA Ag4Pt5, optimized geometry
data_Ag4Pt5
_symmetry_space_group_name_H-M 'P 1'
_symmetry_Int_Tables_number 1
_symmetry_space_group_name_Hall 'P 1'
_cell_length_a 4.940
_cell_length_b 4.940
_cell_length_c 8.481
_cell_angle_alpha 106.54
_cell_angle_beta 106.54
_cell_angle_gamma 48.94
loop_
_atom_site_label
_atom_site_fract_x
_atom_site_fract_y
_atom_site_fract_z
Ag1 0.168 0.168 0.056
Ag2 0.171 0.171 0.389
Ag3 0.829 0.829 0.611
Ag4 0.832 0.832 0.944
Pt1 0.157 0.157 0.720
Pt2 0.494 0.494 0.828
Pt3 0.500 0.500 0.500
Pt4 0.506 0.506 0.172
Pt5 0.843 0.843 0.280
# - Formation enthalpy at 0 K: 58 meV/atom
# - Offset from the most stable computed form: 32 meV/atom
# - Space group: No. 12

---

(3)
# PBE-GGA Ag3Pt2, optimized geometry
data_Ag3Pt2
_symmetry_space_group_name_H-M 'P 1'
_symmetry_Int_Tables_number 1
_symmetry_space_group_name_Hall 'P 1'
_cell_length_a 4.058
_cell_length_b 10.472
_cell_length_c 10.472
_cell_angle_alpha 22.21
_cell_angle_beta 90.00
_cell_angle_gamma 90.00
loop_
_atom_site_label
_atom_site_fract_x
_atom_site_fract_y
_atom_site_fract_z
Ag1 0.000 0.000 0.000
Ag2 0.000 0.199 0.199
Ag3 0.000 0.798 0.798
Ag4 0.500 0.297 0.297
Ag5 0.500 0.500 0.500
Ag6 0.500 0.899 0.899
Pt1 0.000 0.399 0.399
Pt2 0.000 0.600 0.600
Pt3 0.500 0.101 0.101
Pt4 0.500 0.694 0.694
# - Formation enthalpy at 0 K: 39 meV/atom
# - Offset from the most stable computed form: 95 meV/atom
# - Space group: No. 38

---

(4)
# PBE-GGA Ag3Pt7, optimized geometry
data_Ag3Pt7
_symmetry_space_group_name_H-M 'P 1'
_symmetry_Int_Tables_number 1
_symmetry_space_group_name_Hall 'P 1'
_cell_length_a 4.040
_cell_length_b 10.148
_cell_length_c 10.148
_cell_angle_alpha 22.87
_cell_angle_beta 90.00
_cell_angle_gamma 90.00
loop_
_atom_site_label
_atom_site_fract_x
_atom_site_fract_y
_atom_site_fract_z
Ag1 0.000 0.000 0.000
Ag2 0.000 0.400 0.400
Ag3 0.500 0.099 0.099
Pt1 0.000 0.200 0.200
Pt2 0.000 0.602 0.602
Pt3 0.000 0.797 0.797
Pt4 0.500 0.300 0.300
Pt5 0.500 0.499 0.499
Pt6 0.500 0.701 0.701
Pt7 0.500 0.898 0.898
# - Formation enthalpy at 0 K: 43 meV/atom
# - Space group: No. 38

---

(5)
# PBE-GGA Ag5Pt7, optimized geometry
data_Ag5Pt7
_symmetry_space_group_name_H-M 'P 1'
_symmetry_Int_Tables_number 1
_symmetry_space_group_name_Hall 'P 1'
_cell_length_a 4.922
_cell_length_b 6.397
_cell_length_c 7.012
_cell_angle_alpha 68.09
_cell_angle_beta 88.66
_cell_angle_gamma 74.67
loop_
_atom_site_label
_atom_site_fract_x
_atom_site_fract_y
_atom_site_fract_z
Ag1 0.000 0.000 0.000
Ag2 0.173 0.495 0.164
Ag3 0.248 0.752 0.752
Ag4 0.752 0.248 0.248
Ag5 0.827 0.505 0.836
Pt1 0.086 0.254 0.576
Pt2 0.342 0.988 0.336
Pt3 0.415 0.243 0.910
Pt4 0.500 0.500 0.500
Pt5 0.585 0.757 0.090
Pt6 0.658 0.012 0.664
Pt7 0.914 0.746 0.424
# - Formation enthalpy at 0 K: 29 meV/atom
# - Offset from the most stable computed form: 38 meV/atom
# - Space group: No. 2

---

(6)
# PBE-GGA AgPt, optimized geometry
data_AgPt
_symmetry_space_group_name_H-M 'P 1'
_symmetry_Int_Tables_number 1
_symmetry_space_group_name_Hall 'P 1'
_cell_length_a 2.805
_cell_length_b 2.805
_cell_length_c 4.848
_cell_angle_alpha 90.00
_cell_angle_beta 90.00
_cell_angle_gamma 120.00
loop_
_atom_site_label
_atom_site_fract_x
_atom_site_fract_y
_atom_site_fract_z
Ag1 0.000 0.000 0.000
Pt1 0.333 0.667 0.500
# - Formation enthalpy at 0 K: -24 meV/atom
# - Space group: No. 187